a) DFT (PBE-GGA) results for a relaxed Cu3Ir5 crystal.

## Properties
Its crystal system is orthorhombic. The calculated volume is 13.82 A^3/atom.

Cell lengths 7.615, 7.675, 3.783 Å; angles 90.00, 90.00, 90.00 degrees
Space group Cmmm (No. 65)
One atom of each set of equivalent atoms:
Cu (0.000, 0.000, 0.000) x2
Cu (0.242, 0.000, 0.500) x4
Ir (0.000, 0.255, 0.500) x4
Ir (0.000, 0.500, 0.000) x2
Ir (0.250, 0.250, 0.000) x4

b) DFT (PBE-GGA) results for a relaxed Cu3Ir5 crystal.

## Properties
Its crystal system is hexagonal. The calculated volume is 14.13 A^3/atom.

Cell lengths 7.3082, 7.3082, 4.8867 Å; angles 90.00, 90.00, 120.00 degrees
Space group P6_3/mcm (No. 193)
One atom of each set of equivalent atoms:
Cu (0.0000, 0.4087, 0.2500) x6
Ir (0.0000, 0.2117, 0.7500) x6
Ir (0.3333, 0.6667, 0.0000) x4

Quick look at relative energies in eV/atom: a) 0.000; b) 0.285.

a) DFT (PBE-GGA) results for a relaxed Cu4Ir crystal.

## Properties
Its crystal system is cubic. The calculated volume is 19.79 A^3/atom.

Cell lengths 4.625, 4.625, 4.625 Å; angles 90.00, 90.00, 90.00 degrees
Space group Pm-3m (No. 221)
One atom of each set of equivalent atoms:
Cu (0.000, 0.000, 0.000) x1
Cu (0.000, 0.500, 0.500) x3
Ir (0.500, 0.500, 0.500) x1

b) DFT (PBE-GGA) results for a relaxed Cu4Ir crystal.

## Properties
Its crystal system is tetragonal. The calculated volume is 13.33 A^3/atom.

Cell lengths 3.370, 3.370, 11.739 Å; angles 90.00, 90.00, 90.00 degrees
Space group I4/mmm (No. 139)
One atom of each set of equivalent atoms:
Cu (0.000, 0.000, 0.099) x4
Cu (0.000, 0.500, 0.250) x4
Ir (0.000, 0.000, 0.500) x2

Quick look at relative energies in eV/atom: a) 0.812; b) 0.000.

a) DFT (PBE-GGA) results for a relaxed K2CuIr crystal.

## Properties
Its crystal system is trigonal. The calculated volume is 20.99 A^3/atom.

Cell lengths 2.9923, 2.9923, 32.4754 Å; angles 90.00, 90.00, 120.00 degrees
Space group R-3m (No. 166, hexagonal axes)
One atom of each set of equivalent atoms:
K (0.0000, 0.0000, 0.2487) x6
Cu (0.0000, 0.0000, 0.0000) x3
Ir (0.0000, 0.0000, 0.5000) x3

b) DFT (PBE-GGA) results for a relaxed K2CuIr crystal.

## Properties
Its crystal system is orthorhombic. The calculated volume is 22.13 A^3/atom.

Cell lengths 6.123, 10.358, 2.792 Å; angles 90.00, 90.00, 90.00 degrees
Space group Cmmm (No. 65)
One atom of each set of equivalent atoms:
K (0.250, 0.250, 0.000) x4
Cu (0.000, 0.000, 0.500) x2
Ir (0.000, 0.500, 0.500) x2

c) DFT (PBE-GGA) results for a relaxed K2CuIr crystal.

## Properties
Its crystal system is monoclinic. The calculated volume is 28.90 A^3/atom.

Cell lengths 2.885, 4.109, 9.822 Å; angles 90.00, 96.96, 90.00 degrees
Space group Pm (No. 6)
One atom of each set of equivalent atoms:
K (0.000, 0.000, 0.000) x1
K (0.209, 0.500, 0.558) x1
Cu (0.108, 0.500, 0.256) x1
Ir (0.625, 0.000, 0.302) x1

Quick look at relative energies in eV/atom: a) 0.422; b) 0.377; c) 0.000.

a) DFT (PBE-GGA) results for a relaxed KCu3Ir crystal.

## Properties
Its crystal system is cubic. The calculated volume is 22.19 A^3/atom.

Cell lengths 4.805, 4.805, 4.805 Å; angles 90.00, 90.00, 90.00 degrees
Space group Pm-3m (No. 221)
One atom of each set of equivalent atoms:
K (0.000, 0.000, 0.000) x1
Cu (0.000, 0.500, 0.500) x3
Ir (0.500, 0.500, 0.500) x1

b) DFT (PBE-GGA) results for a relaxed KCu3Ir crystal.

## Properties
Its crystal system is cubic. The calculated volume is 18.55 A^3/atom.

Cell lengths 4.527, 4.527, 4.527 Å; angles 90.00, 90.00, 90.00 degrees
Space group Pm-3m (No. 221)
One atom of each set of equivalent atoms:
K (0.000, 0.000, 0.000) x1
Cu (0.000, 0.000, 0.500) x3
Ir (0.500, 0.500, 0.500) x1

Quick look at relative energies in eV/atom: a) 0.000; b) 1.446.

a) DFT (PBE-GGA) results for a relaxed K2CuIr2 crystal.

## Properties
Its crystal system is tetragonal. The calculated volume is 24.64 A^3/atom.

Cell lengths 9.828, 9.828, 2.551 Å; angles 90.00, 90.00, 90.00 degrees
Space group P4/mbm (No. 127)
One atom of each set of equivalent atoms:
K (0.125, 0.375, 0.000) x4
Cu (0.000, 0.000, 0.000) x2
Ir (0.174, 0.674, 0.500) x4

b) DFT (PBE-GGA) results for a relaxed K2CuIr2 crystal.

## Properties
Its crystal system is tetragonal. The calculated volume is 26.29 A^3/atom.

Cell lengths 3.565, 3.565, 20.687 Å; angles 90.00, 90.00, 90.00 degrees
Space group I4/mmm (No. 139)
One atom of each set of equivalent atoms:
K (0.000, 0.000, 0.110) x4
Cu (0.000, 0.000, 0.500) x2
Ir (0.000, 0.500, 0.250) x4

Quick look at relative energies in eV/atom: a) 0.691; b) 0.000.

a) DFT (PBE-GGA) results for a relaxed LaCuIr crystal.

## Properties
Its crystal system is cubic. The calculated volume is 23.25 A^3/atom.

Cell lengths 6.535, 6.535, 6.535 Å; angles 90.00, 90.00, 90.00 degrees
Space group F-43m (No. 216)
One atom of each set of equivalent atoms:
La (0.000, 0.000, 0.000) x4
Cu (0.000, 0.000, 0.500) x4
Ir (0.250, 0.250, 0.750) x4

b) DFT (PBE-GGA) results for a relaxed LaCuIr crystal.

## Properties
Its crystal system is monoclinic. The calculated volume is 20.68 A^3/atom.

Cell lengths 6.166, 5.508, 7.815 Å; angles 90.00, 110.72, 90.00 degrees
Space group P2_1/c (No. 14)
One atom of each set of equivalent atoms:
La (0.198, 0.105, 0.376) x4
Cu (0.415, 0.593, 0.308) x4
Ir (0.191, 0.631, 0.538) x4

Quick look at relative energies in eV/atom: a) 0.312; b) 0.000.

a) DFT (PBE-GGA) results for a relaxed LaCuIr crystal.

## Properties
Its crystal system is cubic. The calculated volume is 24.37 A^3/atom.

Cell lengths 6.638, 6.638, 6.638 Å; angles 90.00, 90.00, 90.00 degrees
Space group F-43m (No. 216)
One atom of each set of equivalent atoms:
La (0.000, 0.000, 0.000) x4
Cu (0.250, 0.250, 0.750) x4
Ir (0.250, 0.250, 0.250) x4

b) DFT (PBE-GGA) results for a relaxed LaCuIr crystal.

## Properties
Its crystal system is orthorhombic. The calculated volume is 23.05 A^3/atom.

Cell lengths 5.049, 8.408, 6.516 Å; angles 90.00, 90.00, 90.00 degrees
Space group Imma (No. 74)
One atom of each set of equivalent atoms:
La (0.000, 0.000, 0.000) x4
Cu (0.000, 0.250, 0.395) x4
Ir (0.250, 0.250, 0.750) x4

Quick look at relative energies in eV/atom: a) 0.697; b) 0.000.

a) DFT (PBE-GGA) results for a relaxed La4CuIr crystal.

## Properties
Its crystal system is monoclinic. The calculated volume is 32.05 A^3/atom.

Cell lengths 8.483, 15.595, 7.168 Å; angles 90.00, 125.78, 90.00 degrees
Space group C2/c (No. 15)
One atom of each set of equivalent atoms:
La (0.231, 0.209, 0.235) x8
La (0.241, 0.048, 0.744) x8
Cu (0.000, 0.406, 0.750) x4
Ir (0.000, 0.083, 0.250) x4

b) DFT (PBE-GGA) results for a relaxed La4CuIr crystal.

## Properties
Its crystal system is monoclinic. The calculated volume is 29.85 A^3/atom.

Cell lengths 6.535, 7.201, 8.025 Å; angles 90.00, 108.45, 90.00 degrees
Space group P2_1/m (No. 11)
One atom of each set of equivalent atoms:
La (0.007, 0.003, 0.242) x4
La (0.437, 0.250, 0.102) x2
La (0.439, 0.250, 0.618) x2
Cu (0.213, 0.750, 0.555) x2
Ir (0.228, 0.750, 0.056) x2

Quick look at relative energies in eV/atom: a) 0.056; b) 0.000.

a) DFT (PBE-GGA) results for a relaxed La8Cu2Ir crystal.

## Properties
Its crystal system is monoclinic. The calculated volume is 31.92 A^3/atom.

Cell lengths 18.799, 4.037, 9.269 Å; angles 90.00, 93.33, 90.00 degrees
Space group C2/m (No. 12)
One atom of each set of equivalent atoms:
La (0.005, 0.000, 0.214) x4
La (0.094, 0.500, 0.512) x4
La (0.155, 0.500, 0.989) x4
La (0.228, 0.000, 0.334) x4
Cu (0.164, 0.000, 0.735) x4
Ir (0.000, 0.500, 0.000) x2

b) DFT (PBE-GGA) results for a relaxed La8Cu2Ir crystal.

## Properties
Its crystal system is monoclinic. The calculated volume is 29.80 A^3/atom.

Cell lengths 18.253, 5.199, 6.996 Å; angles 90.00, 99.12, 90.00 degrees
Space group C2/m (No. 12)
One atom of each set of equivalent atoms:
La (0.031, 0.000, 0.290) x4
La (0.088, 0.500, 0.935) x4
La (0.161, 0.500, 0.464) x4
La (0.202, 0.000, 0.837) x4
Cu (0.194, 0.000, 0.245) x4
Ir (0.000, 0.500, 0.500) x2

Quick look at relative energies in eV/atom: a) 0.000; b) 0.006.

a) DFT (PBE-GGA) results for a relaxed La2CuIrN crystal.

## Properties
Its crystal system is tetragonal. The calculated volume is 21.18 A^3/atom.

Cell lengths 5.253, 5.253, 3.837 Å; angles 90.00, 90.00, 90.00 degrees
Space group P4/mmm (No. 123)
One atom of each set of equivalent atoms:
La (0.000, 0.500, 0.000) x2
Cu (0.000, 0.000, 0.500) x1
Ir (0.500, 0.500, 0.500) x1
N (0.500, 0.500, 0.000) x1

b) DFT (PBE-GGA) results for a relaxed La2CuIrN crystal.

## Properties
Its crystal system is tetragonal. The calculated volume is 19.84 A^3/atom.

Cell lengths 5.121, 5.121, 3.783 Å; angles 90.00, 90.00, 90.00 degrees
Space group P4/mmm (No. 123)
One atom of each set of equivalent atoms:
La (0.000, 0.500, 0.000) x2
Cu (0.000, 0.000, 0.500) x1
Ir (0.500, 0.500, 0.500) x1
N (0.000, 0.000, 0.000) x1

Quick look at relative energies in eV/atom: a) 0.046; b) 0.000.

a) DFT (PBE-GGA) results for a relaxed La2CuIrO6 crystal.

## Properties
Its crystal system is monoclinic. The calculated volume is 12.97 A^3/atom.

Cell lengths 5.575, 6.019, 9.501 Å; angles 90.00, 125.55, 90.00 degrees
Space group P2_1/c (No. 14)
One atom of each set of equivalent atoms:
La (0.231, 0.074, 0.250) x4
Cu (0.000, 0.000, 0.500) x2
Ir (0.500, 0.000, 0.000) x2
O (0.151, 0.183, 0.952) x4
O (0.274, 0.711, 0.947) x4
O (0.348, 0.030, 0.748) x4

b) DFT (PBE-GGA) results for a relaxed La2CuIrO6 crystal.

## Properties
Its crystal system is monoclinic. The calculated volume is 12.98 A^3/atom.

Cell lengths 10.199, 5.434, 5.602 Å; angles 90.00, 123.24, 90.00 degrees
Space group C2/m (No. 12)
One atom of each set of equivalent atoms:
La (0.249, 0.000, 0.262) x4
Cu (0.000, 0.500, 0.000) x2
Ir (0.000, 0.000, 0.500) x2
O (0.062, 0.250, 0.315) x8
O (0.231, 0.000, 0.830) x4

Quick look at relative energies in eV/atom: a) 0.000; b) 0.025.

a) DFT (PBE-GGA) results for a relaxed La2CuIrPd crystal.

## Properties
Its crystal system is tetragonal. The calculated volume is 23.59 A^3/atom.

Cell lengths 4.184, 4.184, 13.472 Å; angles 90.00, 90.00, 90.00 degrees
Space group P4/nmm (No. 129, origin choice 2)
One atom of each set of equivalent atoms:
La (0.250, 0.250, 0.110) x2
La (0.250, 0.250, 0.680) x2
Cu (0.250, 0.750, 0.500) x2
Ir (0.250, 0.250, 0.885) x2
Pd (0.250, 0.250, 0.377) x2

b) DFT (PBE-GGA) results for a relaxed La2CuIrPd crystal.

## Properties
Its crystal system is tetragonal. The calculated volume is 26.99 A^3/atom.

Cell lengths 5.445, 5.445, 4.552 Å; angles 90.00, 90.00, 90.00 degrees
Space group P4/mmm (No. 123)
One atom of each set of equivalent atoms:
La (0.000, 0.500, 0.000) x2
Cu (0.000, 0.000, 0.500) x1
Ir (0.500, 0.500, 0.500) x1
Pd (0.000, 0.000, 0.000) x1

Quick look at relative energies in eV/atom: a) 0.000; b) 0.711.